(1)
# La5Ag3

Crystalline La5Ag3 at its relaxed geometry (GGA-PBE, Alexandria).

## Properties
* E: -4.296 eV/atom
* ρ: 7.0 g/cm3
* energy above the most stable polymorph in this dataset: 0.27 eV/f.u.
* energy of formation from the pure elements: -1.18 eV per formula unit
* volume: 30.2 Å³/atom

Lattice parameters (Å, degrees): 9.521 9.521 8.825 95.00 95.00 141.22
Element x y z (fractional)
La (0.053, 0.685, 0.802)
La (0.210, 0.410, 0.643)
La (0.257, 0.257, 0.041)
La (0.315, 0.947, 0.198)
La (0.410, 0.210, 0.643)
La (0.590, 0.790, 0.357)
La (0.685, 0.053, 0.802)
La (0.743, 0.743, 0.959)
La (0.790, 0.590, 0.357)
La (0.947, 0.315, 0.198)
Ag (0.120, 0.120, 0.342)
Ag (0.250, 0.750, 0.500)
Ag (0.337, 0.663, 0.000)
Ag (0.663, 0.337, 0.000)
Ag (0.750, 0.250, 0.500)
Ag (0.880, 0.880, 0.658)

---

(2)
# Rb2CuP2O6

Crystalline Rb2CuP2O6 at its relaxed geometry (GGA-PBE, Alexandria).

## Properties
* E: -6.010 eV/atom
* ρ: 4.1 g/cm3
* volume: 14.5 Å³/atom

Lattice parameters (Å, degrees): 6.477 6.477 6.477 52.86 52.86 52.86
Element x y z (fractional)
Rb (0.224, 0.224, 0.224)
Rb (0.776, 0.776, 0.776)
Cu (0.000, 0.000, 0.000)
P (0.431, 0.431, 0.431)
P (0.569, 0.569, 0.569)
O (0.259, 0.259, 0.710)
O (0.259, 0.710, 0.259)
O (0.290, 0.741, 0.741)
O (0.710, 0.259, 0.259)
O (0.741, 0.290, 0.741)
O (0.741, 0.741, 0.290)

---

(3)
# CeTiCdHg

Crystalline CeTiCdHg at its relaxed geometry (GGA-PBE, Alexandria).

## Properties
* E: -3.789 eV/atom
* ρ: 8.7 g/cm3
* energy of formation from the pure elements: -0.11 eV per formula unit
* volume: 23.8 Å³/atom

Lattice parameters (Å, degrees): 5.128 5.128 5.128 60.00 60.00 60.00
Element x y z (fractional)
Ce (0.000, 0.000, 0.000)
Ti (0.500, 0.500, 0.500)
Cd (0.250, 0.250, 0.250)
Hg (0.750, 0.750, 0.750)

---

(4)
# Cr2CuIr

Crystalline Cr2CuIr at its relaxed geometry (GGA-PBE, Alexandria).

## Properties
* E: -7.964 eV/atom
* ρ: 11.7 g/cm3
* energy of formation from the pure elements: 0.35 eV per formula unit
* volume: 12.8 Å³/atom

Lattice parameters (Å, degrees): 4.383 4.383 2.699 90.13 90.13 100.39
Element x y z (fractional)
Cr (0.185, 0.185, 0.497)
Cr (0.815, 0.815, 0.503)
Cu (0.706, 0.294, 0.000)
Ir (0.306, 0.694, 0.000)

---

(5)
# Ce3ThIn

Crystalline Ce3ThIn at its relaxed geometry (GGA-PBE, Alexandria).

## Properties
* E: -5.620 eV/atom
* ρ: 8.9 g/cm3
* energy above the most stable polymorph in this dataset: 0.08 eV/f.u.
* energy of formation from the pure elements: -0.14 eV per formula unit
* volume: 28.7 Å³/atom

Lattice parameters (Å, degrees): 5.815 5.815 5.815 124.57 103.19 101.79
Element x y z (fractional)
Ce (0.000, 0.000, 0.000)
Ce (0.532, 0.249, 0.283)
Ce (0.966, 0.249, 0.717)
Th (0.244, 0.744, 0.500)
In (0.577, 0.577, 0.000)

---

(6)
# ZrBe2P

Crystalline ZrBe2P at its relaxed geometry (GGA-PBE, Alexandria).

## Properties
* E: -5.610 eV/atom
* ρ: 4.5 g/cm3
* energy of formation from the pure elements: -1.03 eV per formula unit
* volume: 12.9 Å³/atom

Lattice parameters (Å, degrees): 3.738 3.738 3.707 90.00 90.00 90.00
Element x y z (fractional)
Zr (0.000, 0.000, 0.000)
Be (0.000, 0.500, 0.500)
Be (0.500, 0.000, 0.500)
P (0.500, 0.500, 0.000)

---

(7)
# MoI

Crystalline MoI at its relaxed geometry (GGA-PBE, Alexandria).

## Properties
* E: -5.493 eV/atom
* ρ: 4.5 g/cm3
* energy above the most stable polymorph in this dataset: 0.89 eV/f.u.
* volume: 40.7 Å³/atom

Lattice parameters (Å, degrees): 7.505 7.505 7.505 109.47 109.47 109.47
Element x y z (fractional)
Mo (0.000, 0.000, 0.798)
Mo (0.000, 0.798, 0.000)
Mo (0.202, 0.202, 0.202)
Mo (0.798, 0.000, 0.000)
I (0.000, 0.000, 0.415)
I (0.000, 0.415, 0.000)
I (0.415, 0.000, 0.000)
I (0.585, 0.585, 0.585)

---

(8)
# AlAsSBr2

Crystalline AlAsSBr2 at its relaxed geometry (GGA-PBE, Alexandria).

## Properties
* E: -2.887 eV/atom
* ρ: 3.9 g/cm3
* energy above the most stable polymorph in this dataset: 0.00 eV/f.u.
* volume: 25.2 Å³/atom

Lattice parameters (Å, degrees): 4.815 4.815 5.437 90.00 90.00 90.00
Element x y z (fractional)
Al (0.000, 0.000, 0.000)
As (0.000, 0.000, 0.500)
S (0.500, 0.500, 0.500)
Br (0.000, 0.500, 0.000)
Br (0.500, 0.000, 0.000)

---

(9)
# Ti5MnSb2

Crystalline Ti5MnSb2 at its relaxed geometry (GGA-PBE, Alexandria).

## Properties
* E: -7.527 eV/atom
* ρ: 6.3 g/cm3
* volume: 17.7 Å³/atom

Lattice parameters (Å, degrees): 7.834 7.834 7.834 96.24 96.24 141.50
Element x y z (fractional)
Ti (0.069, 0.800, 0.869)
Ti (0.200, 0.069, 0.270)
Ti (0.250, 0.750, 0.500)
Ti (0.300, 0.569, 0.869)
Ti (0.431, 0.300, 0.730)
Ti (0.569, 0.700, 0.270)
Ti (0.700, 0.431, 0.131)
Ti (0.750, 0.250, 0.500)
Ti (0.800, 0.931, 0.730)
Ti (0.931, 0.200, 0.131)
Mn (0.250, 0.250, 0.000)
Mn (0.750, 0.750, 0.000)
Sb (0.164, 0.336, 0.500)
Sb (0.336, 0.836, 0.172)
Sb (0.664, 0.164, 0.828)
Sb (0.836, 0.664, 0.500)

---

(10)
# CaLaAg3

Crystalline CaLaAg3 at its relaxed geometry (GGA-PBE, Alexandria).

## Properties
* E: -2.783 eV/atom
* ρ: 5.7 g/cm3
* energy above the most stable polymorph in this dataset: 3.02 eV/f.u.
* energy of formation from the pure elements: 1.57 eV per formula unit
* volume: 29.5 Å³/atom

Lattice parameters (Å, degrees): 5.284 5.284 5.284 90.00 90.00 90.00
Element x y z (fractional)
Ca (0.000, 0.000, 0.000)
La (0.500, 0.500, 0.500)
Ag (0.000, 0.000, 0.500)
Ag (0.000, 0.500, 0.000)
Ag (0.500, 0.000, 0.000)

---

(11)
# FeTcI2N

Crystalline FeTcI2N at its relaxed geometry (GGA-PBE, Alexandria).

## Properties
* E: -5.285 eV/atom
* ρ: 6.1 g/cm3
* energy above the most stable polymorph in this dataset: 0.00 eV/f.u.
* volume: 23.1 Å³/atom

Lattice parameters (Å, degrees): 5.558 5.558 3.742 90.00 90.00 90.00
Element x y z (fractional)
Fe (0.000, 0.000, 0.000)
Tc (0.500, 0.500, 0.500)
I (0.000, 0.500, 0.500)
I (0.500, 0.000, 0.500)
N (0.500, 0.500, 0.000)

---

(12)
# SiPAu

Crystalline SiPAu at its relaxed geometry (GGA-PBE, Alexandria).

## Properties
* E: -4.313 eV/atom
* ρ: 7.9 g/cm3
* energy above the most stable polymorph in this dataset: 1.77 eV/f.u.
* volume: 17.9 Å³/atom

Lattice parameters (Å, degrees): 6.230 5.763 3.356 81.58 66.22 32.20
Element x y z (fractional)
Si (0.000, 0.000, 0.000)
P (0.359, 0.359, 0.641)
Au (0.672, 0.672, 0.328)

---

- Look up the E of the eighth one.
  -2.887 eV/atom